The following is a DFT calculation (GGA+U) of a relaxed structure of Na2CoO3.

Magnetization: 20.0 μB/cell
Uncorrected energy: -4.9369 eV per atom
Calculated density: 3.1 g cm⁻³
Space-group type: No. 64
V: 82.8 Å³/f.u.

Lattice parameters (Å, degrees): 5.961 5.961 11.192 90.00 90.00 123.56
Fractional coordinates of all 24 atoms:
Na (0.037, 0.963, 0.853)
Na (0.131, 0.869, 0.423)
Na (0.369, 0.631, 0.923)
Na (0.463, 0.537, 0.353)
Na (0.537, 0.463, 0.647)
Na (0.631, 0.369, 0.077)
Na (0.869, 0.131, 0.577)
Na (0.963, 0.037, 0.147)
Co (0.249, 0.751, 0.160)
Co (0.251, 0.749, 0.660)
Co (0.749, 0.251, 0.340)
Co (0.751, 0.249, 0.840)
O (0.066, 0.434, 0.750)
O (0.086, 0.914, 0.641)
O (0.161, 0.839, 0.026)
O (0.339, 0.661, 0.526)
O (0.414, 0.586, 0.141)
O (0.434, 0.066, 0.250)
O (0.566, 0.934, 0.750)
O (0.586, 0.414, 0.859)
O (0.661, 0.339, 0.474)
O (0.839, 0.161, 0.974)
O (0.914, 0.086, 0.359)
O (0.934, 0.566, 0.250)